KTlHg2 | SCAN | single point on PBEsol structure

The structure belongs to space group Pm (No. 6); the cell edges are 3.425, 4.928 and 6.802 Å and the angles 90.00°, 103.81° and 90.00°. Symmetry generates all atoms from K at (0.000, 0.000, 0.000), Tl at (0.661, 0.500, 0.316), Hg at (0.277, 0.000, 0.514) and Hg at (0.389, 0.500, 0.768).

As for the density of states at the Fermi level: 1.8 states/eV/f.u. As for the spin magnetization: 0.00 μB per formula unit. Its total energy is -217.81 eV for the cell shown.

---

KTl2Hg | SCAN | single point on PBEsol structure

The structure belongs to space group Pm (No. 6); the cell edges are 3.385, 5.015 and 7.079 Å and the angles 90.00°, 103.46° and 90.00°. Symmetry generates all atoms from K at (0.000, 0.000, 0.000), Tl at (0.256, 0.000, 0.514), Tl at (0.649, 0.500, 0.300) and Hg at (0.383, 0.500, 0.762).

As for the density of states at the Fermi level: 1.3 states/eV/f.u. As for the spin magnetization: 0.00 μB per formula unit. Its total energy is -221.95 eV for the cell shown.

---

KTlHg | SCAN | single point on PBEsol structure

The structure belongs to space group F-43m (No. 216); the cell edges are 7.590, 7.590 and 7.590 Å and the angles 90.00°, 90.00° and 90.00°. Symmetry generates all atoms from K at (0.000, 0.000, 0.000), Tl at (0.250, 0.250, 0.250) and Hg at (0.250, 0.250, 0.750).

As for the density of states at the Fermi level: 2.6 states/eV/f.u. As for the spin magnetization: 0.00 μB per formula unit. Its total energy is -594.02 eV for the cell shown.

---

KTl2Hg | SCAN | single point on PBEsol structure

The structure belongs to space group Cm (No. 8); the cell edges are 10.632, 3.388 and 6.578 Å and the angles 90.00°, 97.55° and 90.00°. Symmetry generates all atoms from K at (0.000, 0.000, 0.000), Tl at (0.242, 0.000, 0.707), Tl at (0.497, 0.000, 0.487) and Hg at (0.250, 0.500, 0.263).

As for the density of states at the Fermi level: 1.8 states/eV/f.u. As for the spin magnetization: 0.00 μB per formula unit. Its total energy is -443.52 eV for the cell shown.

---

KTlHg | SCAN | single point on PBEsol structure

The structure belongs to space group P-6m2 (No. 187); the cell edges are 5.3684, 5.3684 and 3.4815 Å and the angles 90.00°, 90.00° and 120.00°. Symmetry generates all atoms from K at (0.0000, 0.0000, 0.0000), Tl at (0.3333, 0.6667, 0.5000) and Hg at (0.6667, 0.3333, 0.5000).

As for the density of states at the Fermi level: 1.4 states/eV/f.u. As for the spin magnetization: 0.00 μB per formula unit. Its total energy is -149.63 eV for the cell shown.

---

KTl2Hg | SCAN | single point on PBEsol structure

The structure belongs to space group P4mm (No. 99); the cell edges are 3.742, 3.742 and 8.482 Å and the angles 90.00°, 90.00° and 90.00°. Symmetry generates all atoms from K at (0.000, 0.000, 0.000), Tl at (0.000, 0.000, 0.521), Tl at (0.500, 0.500, 0.299) and Hg at (0.500, 0.500, 0.735).

As for the density of states at the Fermi level: 1.5 states/eV/f.u. As for the spin magnetization: 0.00 μB per formula unit. Its total energy is -221.92 eV for the cell shown.

---

KTlHg4 | SCAN | single point on PBEsol structure

The structure belongs to space group F-43m (No. 216); the cell edges are 8.586, 8.586 and 8.586 Å and the angles 90.00°, 90.00° and 90.00°. Symmetry generates all atoms from K at (0.000, 0.000, 0.000), Tl at (0.250, 0.250, 0.250) and Hg at (0.125, 0.125, 0.625).

As for the density of states at the Fermi level: 3.0 states/eV/f.u. As for the spin magnetization: 0.00 μB per formula unit. Its total energy is -1417.20 eV for the cell shown.

---

KTlHg2 | SCAN | single point on PBEsol structure

The structure belongs to space group I4/mmm (No. 139); the cell edges are 5.368, 5.368 and 7.622 Å and the angles 90.00°, 90.00° and 90.00°. Symmetry generates all atoms from K at (0.000, 0.000, 0.000), Tl at (0.000, 0.000, 0.500) and Hg at (0.000, 0.500, 0.250).

As for the density of states at the Fermi level: 1.9 states/eV/f.u. As for the spin magnetization: 0.00 μB per formula unit. Its total energy is -435.84 eV for the cell shown.

---

KTl4Hg | SCAN | single point on PBEsol structure

The structure belongs to space group F-43m (No. 216); the cell edges are 9.009, 9.009 and 9.009 Å and the angles 90.00°, 90.00° and 90.00°. Symmetry generates all atoms from K at (0.000, 0.000, 0.000), Tl at (0.124, 0.124, 0.376) and Hg at (0.250, 0.250, 0.750).

As for the density of states at the Fermi level: 2.6 states/eV/f.u. As for the spin magnetization: 0.00 μB per formula unit. Its total energy is -1464.87 eV for the cell shown.

---

KTlHg2 | SCAN | single point on PBEsol structure

The structure belongs to space group Cmmm (No. 65); the cell edges are 7.055, 7.062 and 4.472 Å and the angles 90.00°, 90.00° and 90.00°. Symmetry generates all atoms from K at (0.000, 0.000, 0.000), Tl at (0.000, 0.500, 0.000) and Hg at (0.250, 0.250, 0.500).

As for the density of states at the Fermi level: 1.9 states/eV/f.u. As for the spin magnetization: 0.00 μB per formula unit. Its total energy is -435.58 eV for the cell shown.

---

KTlHg | SCAN | single point on PBEsol structure

The structure belongs to space group I4mm (No. 107); the cell edges are 3.976, 3.976 and 11.898 Å and the angles 90.00°, 90.00° and 90.00°. Symmetry generates all atoms from K at (0.000, 0.000, 0.000), Tl at (0.000, 0.000, 0.703) and Hg at (0.000, 0.000, 0.307).

As for the density of states at the Fermi level: 1.0 states/eV/f.u. As for the spin magnetization: 0.00 μB per formula unit. Its total energy is -298.99 eV for the cell shown.

---

KTl2Hg | SCAN | single point on PBEsol structure

The structure belongs to space group P2/m (No. 10); the cell edges are 3.425, 4.999 and 6.976 Å and the angles 90.00°, 103.01° and 90.00°. Symmetry generates all atoms from K at (0.000, 0.000, 0.000), Tl at (0.339, 0.500, 0.718) and Hg at (0.500, 0.000, 0.500).

As for the density of states at the Fermi level: 1.5 states/eV/f.u. As for the spin magnetization: 0.00 μB per formula unit. Its total energy is -221.87 eV for the cell shown.

---

KTl2Hg | SCAN | single point on PBEsol structure

The structure belongs to space group I4/mmm (No. 139); the cell edges are 5.272, 5.272 and 8.054 Å and the angles 90.00°, 90.00° and 90.00°. Symmetry generates all atoms from K at (0.000, 0.000, 0.000), Tl at (0.000, 0.500, 0.250) and Hg at (0.000, 0.000, 0.500).

As for the density of states at the Fermi level: 2.0 states/eV/f.u. As for the spin magnetization: 0.00 μB per formula unit. Its total energy is -443.30 eV for the cell shown.

---

KTlHg2 | SCAN | single point on PBEsol structure

The structure belongs to space group C2/m (No. 12); the cell edges are 10.019, 3.350 and 6.946 Å and the angles 90.00°, 96.73° and 90.00°. Symmetry generates all atoms from K at (0.000, 0.000, 0.000), Tl at (0.000, 0.500, 0.500) and Hg at (0.248, 0.000, 0.716).

As for the density of states at the Fermi level: 1.8 states/eV/f.u. As for the spin magnetization: 0.00 μB per formula unit. Its total energy is -435.51 eV for the cell shown.

---

KTlHg2 | SCAN | single point on PBEsol structure

The structure belongs to space group P4/mmm (No. 123); the cell edges are 3.903, 3.903 and 7.535 Å and the angles 90.00°, 90.00° and 90.00°. Symmetry generates all atoms from K at (0.000, 0.000, 0.000), Tl at (0.000, 0.000, 0.500) and Hg at (0.500, 0.500, 0.282).

As for the density of states at the Fermi level: 1.7 states/eV/f.u. As for the spin magnetization: 0.00 μB per formula unit. Its total energy is -217.92 eV for the cell shown.

---

KTl2Hg | SCAN | single point on PBEsol structure

The structure belongs to space group P4/mmm (No. 123); the cell edges are 3.751, 3.751 and 8.351 Å and the angles 90.00°, 90.00° and 90.00°. Symmetry generates all atoms from K at (0.000, 0.000, 0.000), Tl at (0.500, 0.500, 0.298) and Hg at (0.000, 0.000, 0.500).

As for the density of states at the Fermi level: 1.5 states/eV/f.u. As for the spin magnetization: 0.00 μB per formula unit. Its total energy is -221.81 eV for the cell shown.

---

KTlHg2 | SCAN | single point on PBEsol structure

The structure belongs to space group P2/m (No. 10); the cell edges are 3.469, 4.382 and 7.453 Å and the angles 90.00°, 90.27° and 90.00°. Symmetry generates all atoms from K at (0.000, 0.000, 0.000), Tl at (0.000, 0.000, 0.500) and Hg at (0.497, 0.500, 0.722).

As for the density of states at the Fermi level: 1.9 states/eV/f.u. As for the spin magnetization: 0.00 μB per formula unit. Its total energy is -217.88 eV for the cell shown.

---

KTl2Hg | SCAN | single point on PBEsol structure

The structure belongs to space group I-4m2 (No. 119); the cell edges are 5.355, 5.355 and 7.870 Å and the angles 90.00°, 90.00° and 90.00°. Symmetry generates all atoms from K at (0.000, 0.000, 0.000), Tl at (0.000, 0.000, 0.500), Tl at (0.000, 0.500, 0.250) and Hg at (0.000, 0.500, 0.750).

As for the density of states at the Fermi level: 2.3 states/eV/f.u. As for the spin magnetization: 0.00 μB per formula unit. Its total energy is -443.62 eV for the cell shown.

---

KTlHg2 | SCAN | single point on PBEsol structure

The structure belongs to space group I-4m2 (No. 119); the cell edges are 4.886, 4.886 and 9.159 Å and the angles 90.00°, 90.00° and 90.00°. Symmetry generates all atoms from K at (0.000, 0.000, 0.000), Tl at (0.000, 0.500, 0.250), Hg at (0.000, 0.000, 0.500) and Hg at (0.000, 0.500, 0.750).

As for the density of states at the Fermi level: 2.2 states/eV/f.u. As for the spin magnetization: 0.00 μB per formula unit. Its total energy is -435.42 eV for the cell shown.

---

KTlHg2 | SCAN | single point on PBEsol structure

The structure belongs to space group Imm2 (No. 44); the cell edges are 4.301, 5.369 and 9.747 Å and the angles 90.00°, 90.00° and 90.00°. Symmetry generates all atoms from K at (0.000, 0.000, 0.000), Tl at (0.000, 0.500, 0.779), Hg at (0.000, 0.000, 0.511) and Hg at (0.000, 0.500, 0.227).

As for the density of states at the Fermi level: 2.2 states/eV/f.u. As for the spin magnetization: 0.00 μB per formula unit. Its total energy is -435.60 eV for the cell shown.

---

KTl2Hg | SCAN | single point on PBEsol structure

The structure belongs to space group Pmmm (No. 47); the cell edges are 4.533, 4.946 and 5.155 Å and the angles 90.00°, 90.00° and 90.00°. Symmetry generates all atoms from K at (0.000, 0.000, 0.000), Tl at (0.000, 0.500, 0.500), Tl at (0.500, 0.000, 0.500) and Hg at (0.500, 0.500, 0.000).

As for the density of states at the Fermi level: 2.0 states/eV/f.u. As for the spin magnetization: 0.00 μB per formula unit. Its total energy is -221.72 eV for the cell shown.

---

KTl2Hg | SCAN | single point on PBEsol structure

The structure belongs to space group Immm (No. 71); the cell edges are 3.698, 5.754 and 11.107 Å and the angles 90.00°, 90.00° and 90.00°. Symmetry generates all atoms from K at (0.000, 0.000, 0.000), Tl at (0.000, 0.500, 0.222) and Hg at (0.000, 0.000, 0.500).

As for the density of states at the Fermi level: 1.6 states/eV/f.u. As for the spin magnetization: 0.00 μB per formula unit. Its total energy is -443.82 eV for the cell shown.

---

KYHg2 | SCAN | single point on PBEsol structure

The structure belongs to space group P4/mmm (No. 123); the cell edges are 3.725, 3.725 and 8.169 Å and the angles 90.00°, 90.00° and 90.00°. Symmetry generates all atoms from K at (0.000, 0.000, 0.000), Y at (0.000, 0.000, 0.500) and Hg at (0.500, 0.500, 0.298).

As for the density of states at the Fermi level: 2.9 states/eV/f.u. As for the spin magnetization: 0.00 μB per formula unit. Its total energy is -174.37 eV for the cell shown.

---

KZnHg3 | SCAN | single point on PBEsol structure

The structure belongs to space group Pm-3m (No. 221); the cell edges are 5.205, 5.205 and 5.205 Å and the angles 90.00°, 90.00° and 90.00°. Symmetry generates all atoms from K at (0.000, 0.000, 0.000), Zn at (0.500, 0.500, 0.500) and Hg at (0.000, 0.500, 0.500).

As for the density of states at the Fermi level: 2.0 states/eV/f.u. As for the spin magnetization: 0.00 μB per formula unit. Its total energy is -227.18 eV for the cell shown.

---

K2ZnHg | SCAN | single point on PBEsol structure

The structure belongs to space group Imm2 (No. 44); the cell edges are 4.159, 5.784 and 11.106 Å and the angles 90.00°, 90.00° and 90.00°. Symmetry generates all atoms from K at (0.000, 0.000, 0.000), K at (0.000, 0.500, 0.196), Zn at (0.000, 0.500, 0.775) and Hg at (0.000, 0.000, 0.423).

As for the density of states at the Fermi level: 2.0 states/eV/f.u. As for the spin magnetization: 0.00 μB per formula unit. Its total energy is -197.58 eV for the cell shown.

---

K2ZnHg | SCAN | single point on PBEsol structure

The structure belongs to space group Amm2 (No. 38); the cell edges are 4.611, 5.105 and 12.157 Å and the angles 90.00°, 90.00° and 90.00°. Symmetry generates all atoms from K at (0.000, 0.000, 0.000), K at (0.500, 0.000, 0.298), Zn at (0.000, 0.000, 0.702) and Hg at (0.500, 0.000, 0.595).

As for the density of states at the Fermi level: 2.3 states/eV/f.u. As for the spin magnetization: 0.00 μB per formula unit. Its total energy is -197.75 eV for the cell shown.

---

KZr4Hg | SCAN | single point on PBEsol structure

The structure belongs to space group F-43m (No. 216); the cell edges are 8.310, 8.310 and 8.310 Å and the angles 90.00°, 90.00° and 90.00°. Symmetry generates all atoms from K at (0.000, 0.000, 0.000), Zr at (0.123, 0.123, 0.377) and Hg at (0.250, 0.250, 0.750).

As for the density of states at the Fermi level: 4.4 states/eV/f.u. As for the spin magnetization: 0.00 μB per formula unit. Its total energy is -782.32 eV for the cell shown.

---

K3ZrHg | SCAN | single point on PBEsol structure

The structure belongs to space group Pm-3m (No. 221); the cell edges are 6.676, 6.676 and 6.676 Å and the angles 90.00°, 90.00° and 90.00°. Symmetry generates all atoms from K at (0.000, 0.000, 0.500), Zr at (0.000, 0.000, 0.000) and Hg at (0.500, 0.500, 0.500).

As for the density of states at the Fermi level: 2.8 states/eV/f.u. As for the spin magnetization: 5.09 μB per formula unit. Its total energy is -119.03 eV for the cell shown.

---

K2ZrHg | SCAN | single point on PBEsol structure

The structure belongs to space group P4/mmm (No. 123); the cell edges are 4.351, 4.351 and 6.100 Å and the angles 90.00°, 90.00° and 90.00°. Symmetry generates all atoms from K at (0.000, 0.500, 0.000), Zr at (0.000, 0.000, 0.500) and Hg at (0.500, 0.500, 0.500).

As for the density of states at the Fermi level: 2.5 states/eV/f.u. As for the spin magnetization: 1.53 μB per formula unit. Its total energy is -113.70 eV for the cell shown.

---

LaHg | SCAN | single point on PBEsol structure

The structure belongs to space group Pm-3m (No. 221); the cell edges are 3.833, 3.833 and 3.833 Å and the angles 90.00°, 90.00° and 90.00°. Symmetry generates all atoms from La at (0.000, 0.000, 0.000) and Hg at (0.500, 0.500, 0.500).

As for the density of states at the Fermi level: 2.1 states/eV/f.u. As for the spin magnetization: 0.20 μB per formula unit. Its total energy is -112.69 eV for the cell shown.

---

These records have volume values of 27.872 29.217 36.434 29.361 28.964 29.701 26.376 27.453 30.462 27.851 31.351 29.097 27.988 28.945 28.703 29.367 28.321 28.212 27.326 28.130 28.896 29.546 28.344 28.208 33.395 35.765 23.914 59.497 28.876 28.159 A^3/atom, in the order they appear.